# Rb2NaZnH4

An optimized crystal structure of Rb2NaZnH4 (PBE, the Alexandria database).

Lattice parameters (Å, degrees): 5.4550 5.5381 17.8032 85.67 81.19 60.50
Positions (direct):
H (0.3569, 0.6953, 0.4451)
H (0.4973, 0.3047, 0.5549)
H (0.9478, 0.6953, 0.5549)
H (0.5520, 0.1953, 0.0549)
H (0.2527, 0.1953, 0.9451)
H (0.3931, 0.8047, 0.0549)
H (0.1980, 0.3047, 0.4451)
H (0.8022, 0.8047, 0.9451)
Na (0.0000, 0.0000, 0.0000)
Na (0.7500, 0.5000, 0.5000)
Rb (0.9314, 0.5000, 0.1371)
Rb (0.5686, 0.5000, 0.8629)
Rb (0.8186, 0.0000, 0.3629)
Rb (0.1814, 0.0000, 0.6371)
Zn (0.2500, 0.5000, 0.5000)
Zn (0.5000, 0.0000, 0.0000)

Calculated values
VASP energy: -37.0 eV/cell
Symmetry: Fddd, No. 70
Total moment: 0.00 μB per formula unit